RbAc2Sb: optimized geometry, PBE.

Cell: 5.5175 5.5175 5.0779 Å, 90.00 90.00 90.00°
Space group P4/mmm (No. 123)
Unique sites:
Rb 0.0000 0.0000 0.0000 x1
Ac 0.0000 0.5000 0.5000 x2
Sb 0.5000 0.5000 0.0000 x1

Energy relative to the elements, uncorrected (meV/atom): -152.6
Size of the total moment (Bohr magnetons per cell): 0.0
Energy above the lowest structure with this stoichiometry (meV per atom): 153


Ca2CuRhN: optimized geometry, PBE.

Cell: 4.9754 4.9754 3.8214 Å, 90.00 90.00 90.00°
Space group P4/mmm (No. 123)
Unique sites:
Ca 0.0000 0.5000 0.0000 x2
Cu 0.0000 0.0000 0.5000 x1
Rh 0.5000 0.5000 0.5000 x1
N 0.5000 0.5000 0.0000 x1

Energy relative to the elements, uncorrected (meV/atom): -439.1
Size of the total moment (Bohr magnetons per cell): 0.0


CaHo3: optimized geometry, PBE.

Cell: 5.0823 5.0823 10.1170 Å, 90.00 90.00 90.00°
Space group I4/mmm (No. 139)
Unique sites:
Ca 0.0000 0.0000 0.0000 x2
Ho 0.0000 0.0000 0.5000 x2
Ho 0.0000 0.5000 0.2500 x4

Energy of formation from the pure elements (eV/atom): 0.136
Size of the total moment (Bohr magnetons per cell): 0.0


Sr6ZnRh: optimized geometry, PBE.

Cell: 4.2236 11.8423 13.6874 Å, 90.00 90.00 90.00°
Space group Amm2 (No. 38)
Unique sites:
Sr 0.0000 0.0000 0.0000 x2
Sr 0.0000 0.1636 0.7247 x4
Sr 0.5000 0.0000 0.2595 x2
Sr 0.5000 0.2049 0.4834 x4
Zn 0.0000 0.0000 0.5132 x2
Rh 0.5000 0.0000 0.6163 x2

Energy of formation from the pure elements (eV/atom): -0.123
Size of the total moment (Bohr magnetons per cell): 0.0


CaNbF2: optimized geometry, PBE.

Cell: 6.3138 6.3138 6.3138 Å, 90.00 90.00 90.00°
Space group Fm-3m (No. 225)
Unique sites:
Ca 0.0000 0.0000 0.0000 x4
Nb 0.0000 0.0000 0.5000 x4
F 0.2500 0.2500 0.2500 x8

Energy relative to the elements, uncorrected (meV/atom): -909.9
Size of the total moment (Bohr magnetons per cell): 11.5
Energy above the lowest structure with this stoichiometry (meV per atom): 1076


PaFeBr: optimized geometry, PBE.

Cell: 6.5980 4.2130 11.1615 Å, 90.00 92.46 90.00°
Space group C2/m (No. 12)
Unique sites:
Pa 0.0795 0.0000 0.1544 x4
Fe 0.1707 0.5000 0.9605 x4
Br 0.2299 0.0000 0.6638 x4

Energy relative to the elements, uncorrected (meV/atom): -694.1
Size of the total moment (Bohr magnetons per cell): 0.0


- The highest size of the total moment belongs to which entry?
  CaNbF2


What did the second record say?
Ca2CuRhN: optimized geometry, PBE.

Cell: 4.9754 4.9754 3.8214 Å, 90.00 90.00 90.00°
Space group P4/mmm (No. 123)
Unique sites:
Ca 0.0000 0.5000 0.0000 x2
Cu 0.0000 0.0000 0.5000 x1
Rh 0.5000 0.5000 0.5000 x1
N 0.5000 0.5000 0.0000 x1

Energy relative to the elements, uncorrected (meV/atom): -439.1
Size of the total moment (Bohr magnetons per cell): 0.0